A plane-wave DFT calculation with GGA-PBE was carried out for BeHgAsO after structural relaxation.

a = 3.7462 Å, b = 3.7462 Å, c = 9.6566 Å
α = 90.00°, β = 90.00°, γ = 90.00°
Space group P4/nmm (No. 129, origin choice 2)
Asymmetric unit:
Be: 0.2500 0.2500 0.0054 [2 per cell]
Hg: 0.2500 0.7500 0.5000 [2 per cell]
As: 0.2500 0.2500 0.2862 [2 per cell]
O: 0.2500 0.7500 0.0000 [2 per cell]

The calculation puts the polymorph energy (0 for the lowest one) at 1.21 eV/f.u.

A plane-wave DFT calculation with GGA-PBE was carried out for TaCd2Ag after structural relaxation.

a = 6.7353 Å, b = 6.7353 Å, c = 6.7353 Å
α = 90.00°, β = 90.00°, γ = 90.00°
Space group F-43m (No. 216)
Asymmetric unit:
Ta: 0.0000 0.0000 0.0000 [4 per cell]
Cd: 0.0000 0.0000 0.5000 [4 per cell]
Cd: 0.2500 0.2500 0.7500 [4 per cell]
Ag: 0.2500 0.2500 0.2500 [4 per cell]

The value obtained for the formation energy is 0.48 eV/atom.

A plane-wave DFT calculation with GGA-PBE was carried out for TbHo2Al3CuNi2 after structural relaxation.

a = 3.9045 Å, b = 12.0398 Å, c = 6.9596 Å
α = 90.00°, β = 90.00°, γ = 90.00°
Space group Amm2 (No. 38)
Asymmetric unit:
Tb: 0.0000 0.0000 0.0000 [2 per cell]
Ho: 0.0000 0.2098 0.6294 [4 per cell]
Al: 0.5000 0.0000 0.6584 [2 per cell]
Al: 0.5000 0.1201 0.3010 [4 per cell]
Cu: 0.0000 0.0000 0.4209 [2 per cell]
Ni: 0.5000 0.1678 0.9195 [4 per cell]

The value obtained for the calculated total energy is -4.981 eV/atom.

A plane-wave DFT calculation with GGA-PBE was carried out for La2Mg4CoIr after structural relaxation.

a = 8.4426 Å, b = 4.1910 Å, c = 10.2274 Å
α = 90.00°, β = 90.00°, γ = 90.00°
Space group Amm2 (No. 38)
Asymmetric unit:
La: 0.0000 0.0000 0.0000 [2 per cell]
La: 0.5000 0.0000 0.1254 [2 per cell]
Mg: 0.1971 0.0000 0.7196 [4 per cell]
Mg: 0.3081 0.0000 0.4080 [4 per cell]
Co: 0.5000 0.0000 0.8369 [2 per cell]
Ir: 0.0000 0.0000 0.2909 [2 per cell]

The value obtained for the calculated total energy is -4.282 eV/atom.

A plane-wave DFT calculation with GGA-PBE was carried out for TaBiN2O after structural relaxation.

a = 5.7804 Å, b = 5.7804 Å, c = 14.2183 Å
α = 90.00°, β = 90.00°, γ = 120.00°
Space group P6_3/mmc (No. 194)
Asymmetric unit:
Ta: 0.0000 0.0000 0.0000 [2 per cell]
Ta: 0.3333 0.6667 0.1441 [4 per cell]
Bi: 0.0000 0.0000 0.2500 [2 per cell]
Bi: 0.3333 0.6667 0.6210 [4 per cell]
N: 0.1597 0.3194 0.0896 [12 per cell]
O: 0.0080 0.5040 0.7500 [6 per cell]

The value obtained for the calculated total energy is -8.116 eV/atom.

A plane-wave DFT calculation with GGA-PBE was carried out for ErScIn after structural relaxation.

a = 7.0658 Å, b = 7.0658 Å, c = 7.0658 Å
α = 90.00°, β = 90.00°, γ = 90.00°
Space group F-43m (No. 216)
Asymmetric unit:
Er: 0.0000 0.0000 0.0000 [4 per cell]
Sc: 0.0000 0.0000 0.5000 [4 per cell]
In: 0.2500 0.2500 0.2500 [4 per cell]

The calculation puts the polymorph energy (0 for the lowest one) at 0.93 eV/f.u.

A plane-wave DFT calculation with GGA-PBE was carried out for LaPr2Ni6Pt3 after structural relaxation.

a = 5.2074 Å, b = 5.2074 Å, c = 25.6447 Å
α = 90.00°, β = 90.00°, γ = 120.00°
Space group R-3m (No. 166, hexagonal axes)
Asymmetric unit:
La: 0.0000 0.0000 0.0000 [3 per cell]
Pr: 0.0000 0.0000 0.1384 [6 per cell]
Ni: 0.0027 0.5013 0.9168 [18 per cell]
Pt: 0.0000 0.0000 0.3324 [6 per cell]
Pt: 0.0000 0.0000 0.5000 [3 per cell]

The value obtained for the formation energy is -0.54 eV/atom.

A plane-wave DFT calculation with GGA-PBE was carried out for PaNbTl after structural relaxation.

a = 6.9623 Å, b = 6.9623 Å, c = 6.9623 Å
α = 90.00°, β = 90.00°, γ = 90.00°
Space group F-43m (No. 216)
Asymmetric unit:
Pa: 0.0000 0.0000 0.0000 [4 per cell]
Nb: 0.2500 0.2500 0.7500 [4 per cell]
Tl: 0.2500 0.2500 0.2500 [4 per cell]

The calculation puts the polymorph energy (0 for the lowest one) at 1.48 eV/f.u.

Please write out number 1 again, unchanged.
A plane-wave DFT calculation with GGA-PBE was carried out for BeHgAsO after structural relaxation.

a = 3.7462 Å, b = 3.7462 Å, c = 9.6566 Å
α = 90.00°, β = 90.00°, γ = 90.00°
Space group P4/nmm (No. 129, origin choice 2)
Asymmetric unit:
Be: 0.2500 0.2500 0.0054 [2 per cell]
Hg: 0.2500 0.7500 0.5000 [2 per cell]
As: 0.2500 0.2500 0.2862 [2 per cell]
O: 0.2500 0.7500 0.0000 [2 per cell]

The calculation puts the polymorph energy (0 for the lowest one) at 1.21 eV/f.u.